# 1
Entry from Alexandria: crystalline NdSnHg3 at its relaxed geometry (PBE-GGA).

## Properties
- D(E_F): 4.82 states/eV per cell
- Energy of formation: -0.250 eV/atom
- Density: 10.0 g cm⁻³
- SG: P2_1/m
- Uncorrected energy: -21.86 eV for the cell shown

a = 4.8401 Å, b = 9.9831 Å, c = 6.4011 Å
α = 90.00°, β = 112.18°, γ = 90.00°
Element x y z (fractional)
Nd 0.1899 0.2500 0.3755
Nd 0.8101 0.7500 0.6245
Sn 0.4973 0.2500 0.9888
Sn 0.5027 0.7500 0.0112
Hg 0.1321 0.7500 0.2694
Hg 0.3403 0.5180 0.6822
Hg 0.3403 0.9820 0.6822
Hg 0.6597 0.0180 0.3178
Hg 0.6597 0.4820 0.3178
Hg 0.8679 0.2500 0.7306

---

# 2
Entry from Alexandria: crystalline BSbO3 at its relaxed geometry (PBE-GGA).

## Properties
- D(E_F): 0.00 states/eV per cell
- Density: 4.2 g cm⁻³
- SG: P-1
- Uncorrected energy: -69.69 eV for the cell shown

a = 4.7122 Å, b = 4.8606 Å, c = 6.5283 Å
α = 77.22°, β = 78.62°, γ = 84.23°
Element x y z (fractional)
B 0.0160 0.2453 0.2014
B 0.9840 0.7547 0.7986
Sb 0.3786 0.2452 0.7630
Sb 0.6214 0.7548 0.2370
O 0.0141 0.5221 0.2181
O 0.2180 0.9140 0.6973
O 0.2640 0.1250 0.0867
O 0.7360 0.8750 0.9133
O 0.7820 0.0860 0.3027
O 0.9859 0.4779 0.7819

---

# 3
Entry from Alexandria: crystalline Pm2FeSi4Os3 at its relaxed geometry (PBE-GGA).

## Properties
- D(E_F): 6.57 states/eV per cell
- Density: 10.0 g cm⁻³
- SG: P-4m2
- Uncorrected energy: -78.99 eV for the cell shown

a = 4.1873 Å, b = 4.1873 Å, c = 9.7173 Å
α = 90.00°, β = 90.00°, γ = 90.00°
Element x y z (fractional)
Pm 0.0000 0.5000 0.2431
Pm 0.5000 0.0000 0.7569
Fe 0.5000 0.5000 0.0000
Si 0.0000 0.0000 0.5000
Si 0.0000 0.5000 0.8839
Si 0.5000 0.0000 0.1161
Si 0.5000 0.5000 0.5000
Os 0.0000 0.0000 0.0000
Os 0.0000 0.5000 0.6284
Os 0.5000 0.0000 0.3716

---

# 4
Entry from Alexandria: crystalline Pm2Al5Pt3 at its relaxed geometry (PBE-GGA).

## Properties
- D(E_F): 11.29 states/eV per cell
- Energy of formation: -0.988 eV/atom
- Density: 8.9 g cm⁻³
- SG: Cmc2_1
- Uncorrected energy: -112.43 eV for the cell shown

a = 12.8702 Å, b = 12.8702 Å, c = 6.8122 Å
α = 90.00°, β = 90.00°, γ = 160.49°
Element x y z (fractional)
Pm 0.0183 0.9817 0.5000
Pm 0.3251 0.6749 0.4706
Pm 0.6749 0.3251 0.9706
Pm 0.9817 0.0183 0.0000
Al 0.1023 0.8977 0.1482
Al 0.2072 0.7928 0.6572
Al 0.2116 0.7884 0.2575
Al 0.3734 0.6266 0.9927
Al 0.4447 0.5553 0.3272
Al 0.5553 0.4447 0.8272
Al 0.6266 0.3734 0.4927
Al 0.7884 0.2116 0.7575
Al 0.7928 0.2072 0.1572
Al 0.8977 0.1023 0.6482
Pt 0.1081 0.8919 0.7564
Pt 0.2736 0.7264 0.9550
Pt 0.4478 0.5522 0.7149
Pt 0.5522 0.4478 0.2149
Pt 0.7264 0.2736 0.4550
Pt 0.8919 0.1081 0.2564